Record 1
VASP calculation (GGA-PBE) on a relaxed structure of Dy6MgCd.

Summary:
total magnetization = 0.00 μB/atom
ΔE_f = -88.8 meV/atom
space-group type = C2/m

abc: 9.822 9.822 5.046
angles: 104.82 104.82 29.77
Fractional coordinates of all 8 atoms:
Dy 0.116 0.116 0.116
Dy 0.249 0.249 0.749
Dy 0.384 0.384 0.384
Dy 0.616 0.616 0.616
Dy 0.751 0.751 0.251
Dy 0.884 0.884 0.884
Mg 0.000 0.000 0.500
Cd 0.500 0.500 0.000



Record 2
VASP calculation (GGA-PBE) on a relaxed structure of SnPbI.

Summary:
formation energy from raw total energies = -0.1477 eV/atom
total magnetization = 0.00 μB/atom
space-group type = C2/m

abc: 4.063 4.063 12.649
angles: 90.17 90.17 89.93
Fractional coordinates of all 6 atoms:
Sn 0.249 0.249 0.448
Sn 0.751 0.751 0.552
Pb 0.254 0.254 0.720
Pb 0.746 0.746 0.280
I 0.246 0.246 0.134
I 0.754 0.754 0.866



Record 3
VASP calculation (GGA-PBE) on a relaxed structure of YErC.

Summary:
total magnetization = 0.13 μB/atom
ΔE_f = -308.5 meV/atom
space-group type = C2/m

abc: 6.435 6.435 6.211
angles: 99.23 99.23 32.39
Fractional coordinates of all 6 atoms:
Y 0.111 0.111 0.371
Y 0.889 0.889 0.629
Er 0.392 0.392 0.131
Er 0.608 0.608 0.869
C 0.000 0.000 0.000
C 0.500 0.500 0.500



Record 4
VASP calculation (GGA-PBE) on a relaxed structure of Tb2DySnC.

Summary:
total magnetization = 0.00 μB/atom
ΔE_f = -618.9 meV/atom
space-group type = P4/mmm

abc: 4.921 4.921 4.893
angles: 90.00 90.00 90.00
Fractional coordinates of all 5 atoms:
Tb 0.000 0.500 0.000
Tb 0.500 0.000 0.000
Dy 0.000 0.000 0.500
Sn 0.500 0.500 0.500
C 0.000 0.000 0.000



Record 5
VASP calculation (GGA-PBE) on a relaxed structure of Cs4Pu3ICl12.

Summary:
formation energy from raw total energies = -1.7655 eV/atom
total magnetization = 0.75 μB/atom
space-group type = Im-3m

abc: 10.064 10.064 10.064
angles: 109.47 109.47 109.47
Fractional coordinates of all 20 atoms:
Cs 0.000 0.000 0.500
Cs 0.000 0.500 0.000
Cs 0.500 0.000 0.000
Cs 0.500 0.500 0.500
Pu 0.000 0.500 0.500
Pu 0.500 0.000 0.500
Pu 0.500 0.500 0.000
I 0.000 0.000 0.000
Cl 0.000 0.279 0.279
Cl 0.000 0.721 0.721
Cl 0.250 0.500 0.750
Cl 0.250 0.750 0.500
Cl 0.279 0.000 0.279
Cl 0.279 0.279 0.000
Cl 0.500 0.250 0.750
Cl 0.500 0.750 0.250
Cl 0.721 0.000 0.721
Cl 0.721 0.721 0.000
Cl 0.750 0.250 0.500
Cl 0.750 0.500 0.250



Record 6
VASP calculation (GGA-PBE) on a relaxed structure of Na3Al2S4.

Summary:
formation energy from raw total energies = -0.9999 eV/atom
total magnetization = 0.00 μB/atom
space-group type = C2/c

abc: 8.239 8.239 6.280
angles: 91.71 91.71 80.66
Fractional coordinates of all 18 atoms:
Na 0.091 0.909 0.750
Na 0.265 0.540 0.459
Na 0.460 0.735 0.041
Na 0.540 0.265 0.959
Na 0.735 0.460 0.541
Na 0.909 0.091 0.250
Al 0.110 0.340 0.917
Al 0.340 0.110 0.417
Al 0.660 0.890 0.583
Al 0.890 0.660 0.083
S 0.108 0.256 0.565
S 0.162 0.601 0.992
S 0.256 0.108 0.065
S 0.399 0.838 0.508
S 0.601 0.162 0.492
S 0.744 0.892 0.935
S 0.838 0.399 0.008
S 0.892 0.744 0.435



Record 7
VASP calculation (GGA-PBE) on a relaxed structure of LaIn2P.

Summary:
total magnetization = 0.00 μB/atom
ΔE_f = -562.5 meV/atom
space-group type = Immm

abc: 6.437 6.437 6.437
angles: 144.86 138.09 55.81
Fractional coordinates of all 4 atoms:
La 0.000 0.000 0.000
In 0.280 0.780 0.500
In 0.720 0.220 0.500
P 0.500 0.500 0.000



Record 8
VASP calculation (GGA-PBE) on a relaxed structure of RbLiCeI5.

Summary:
formation energy from raw total energies = -1.3405 eV/atom
total magnetization = 0.13 μB/atom
space-group type = C2/c

abc: 8.677 8.677 11.741
angles: 103.62 103.62 107.12
Fractional coordinates of all 16 atoms:
Rb 0.144 0.856 0.750
Rb 0.856 0.144 0.250
Li 0.192 0.808 0.250
Li 0.808 0.192 0.750
Ce 0.500 0.500 0.000
Ce 0.500 0.500 0.500
I 0.118 0.259 0.933
I 0.181 0.584 0.385
I 0.259 0.118 0.433
I 0.414 0.586 0.750
I 0.416 0.819 0.115
I 0.584 0.181 0.885
I 0.586 0.414 0.250
I 0.741 0.882 0.567
I 0.819 0.416 0.615
I 0.882 0.741 0.067



Record 9
VASP calculation (GGA-PBE) on a relaxed structure of Ti7CoNi2.

Summary:
total magnetization = 0.00 μB/atom
ΔE_f = 771.7 meV/atom
space-group type = Fm-3m

abc: 6.319 6.319 6.319
angles: 60.00 60.00 60.00
Fractional coordinates of all 10 atoms:
Ti 0.000 0.000 0.000
Ti 0.254 0.254 0.746
Ti 0.254 0.746 0.254
Ti 0.254 0.746 0.746
Ti 0.746 0.254 0.254
Ti 0.746 0.254 0.746
Ti 0.746 0.746 0.254
Co 0.500 0.500 0.500
Ni 0.250 0.250 0.250
Ni 0.750 0.750 0.750



Record 10
VASP calculation (GGA-PBE) on a relaxed structure of Cs2TlSbCl6.

Summary:
formation energy from raw total energies = -1.3946 eV/atom
total magnetization = 0.00 μB/atom
space-group type = Fm-3m

abc: 8.099 8.099 8.099
angles: 60.00 60.00 60.00
Fractional coordinates of all 10 atoms:
Cs 0.250 0.250 0.250
Cs 0.750 0.750 0.750
Tl 0.000 0.000 0.000
Sb 0.500 0.500 0.500
Cl 0.267 0.267 0.733
Cl 0.267 0.733 0.267
Cl 0.267 0.733 0.733
Cl 0.733 0.267 0.267
Cl 0.733 0.267 0.733
Cl 0.733 0.733 0.267



Record 11
VASP calculation (GGA-PBE) on a relaxed structure of In2RhPb.

Summary:
total magnetization = 0.00 μB/atom
ΔE_f = 9.2 meV/atom
space-group type = Pm

abc: 3.892 4.303 5.829
angles: 90.00 109.37 90.00
Fractional coordinates of all 4 atoms:
In 0.000 0.000 0.000
In 0.413 0.500 0.827
Rh 0.262 0.000 0.523
Pb 0.691 0.500 0.380



Record 12
VASP calculation (GGA-PBE) on a relaxed structure of Re3IrS.

Summary:
formation energy from raw total energies = 2.5309 eV/atom
total magnetization = 0.45 μB/atom
space-group type = Pm-3m

abc: 4.749 4.749 4.749
angles: 90.00 90.00 90.00
Fractional coordinates of all 5 atoms:
Re 0.000 0.000 0.500
Re 0.000 0.500 0.000
Re 0.500 0.000 0.000
Ir 0.000 0.000 0.000
S 0.500 0.500 0.500



Record 13
VASP calculation (GGA-PBE) on a relaxed structure of LaFe2Te.

Summary:
formation energy from raw total energies = 0.2454 eV/atom
total magnetization = 1.25 μB/atom
space-group type = I-4m2

abc: 5.845 5.845 5.845
angles: 139.11 139.11 59.21
Fractional coordinates of all 4 atoms:
La 0.000 0.000 0.000
Fe 0.500 0.500 0.000
Fe 0.750 0.250 0.500
Te 0.250 0.750 0.500



Record 14
VASP calculation (GGA-PBE) on a relaxed structure of Tl2CoSe.

Summary:
formation energy from raw total energies = 0.5629 eV/atom
total magnetization = 0.59 μB/atom
space-group type = Fm-3m

abc: 5.202 5.202 5.202
angles: 60.00 60.00 60.00
Fractional coordinates of all 4 atoms:
Tl 0.250 0.250 0.250
Tl 0.750 0.750 0.750
Co 0.000 0.000 0.000
Se 0.500 0.500 0.500



Record 15
VASP calculation (GGA-PBE) on a relaxed structure of MnAl24Cr.

Summary:
total magnetization = 0.00 μB/atom
ΔE_f = -87.0 meV/atom
space-group type = C2/m

abc: 6.478 6.478 10.617
angles: 90.01 90.01 70.57
Fractional coordinates of all 26 atoms:
Mn 0.000 0.000 0.000
Al 0.033 0.662 0.152
Al 0.060 0.060 0.244
Al 0.102 0.712 0.407
Al 0.162 0.533 0.652
Al 0.212 0.603 0.908
Al 0.246 0.246 0.060
Al 0.255 0.255 0.440
Al 0.288 0.898 0.593
Al 0.338 0.967 0.848
Al 0.397 0.788 0.092
Al 0.441 0.441 0.254
Al 0.467 0.838 0.348
Al 0.533 0.162 0.652
Al 0.559 0.559 0.746
Al 0.603 0.212 0.908
Al 0.662 0.033 0.152
Al 0.712 0.102 0.407
Al 0.745 0.745 0.560
Al 0.754 0.754 0.940
Al 0.788 0.397 0.092
Al 0.838 0.467 0.348
Al 0.898 0.288 0.593
Al 0.940 0.940 0.756
Al 0.967 0.338 0.848
Cr 0.500 0.500 0.500



Record 16
VASP calculation (GGA-PBE) on a relaxed structure of Pm3SiN4.

Summary:
formation energy from raw total energies = -1.1735 eV/atom
total magnetization = 0.12 μB/atom
space-group type = Pmn2_1

abc: 7.475 6.613 5.421
angles: 90.00 90.00 90.00
Fractional coordinates of all 16 atoms:
Pm 0.000 0.149 0.000
Pm 0.249 0.335 0.500
Pm 0.251 0.665 0.000
Pm 0.500 0.851 0.500
Pm 0.749 0.665 0.000
Pm 0.751 0.335 0.500
Si 0.000 0.832 0.470
Si 0.500 0.168 0.970
N 0.000 0.099 0.550
N 0.000 0.829 0.143
N 0.201 0.702 0.559
N 0.299 0.298 0.059
N 0.500 0.171 0.643
N 0.500 0.901 0.050
N 0.701 0.298 0.059
N 0.799 0.702 0.559



Record 17
VASP calculation (GGA-PBE) on a relaxed structure of Sn2PdRh2.

Summary:
total magnetization = 0.00 μB/atom
ΔE_f = 55.2 meV/atom
space-group type = I4/mmm

abc: 6.217 6.217 6.217
angles: 139.49 139.49 58.62
Fractional coordinates of all 5 atoms:
Sn 0.250 0.750 0.500
Sn 0.750 0.250 0.500
Pd 0.000 0.000 0.000
Rh 0.386 0.386 0.000
Rh 0.614 0.614 0.000



Record 18
VASP calculation (GGA-PBE) on a relaxed structure of LaMn3Pd.

Summary:
total magnetization = 1.61 μB/atom
ΔE_f = 1583.9 meV/atom
space-group type = Pm-3m

abc: 4.608 4.608 4.608
angles: 90.00 90.00 90.00
Fractional coordinates of all 5 atoms:
La 0.000 0.000 0.000
Mn 0.000 0.000 0.500
Mn 0.000 0.500 0.000
Mn 0.500 0.000 0.000
Pd 0.500 0.500 0.500



Record 19
VASP calculation (GGA-PBE) on a relaxed structure of CdNi3.

Summary:
total magnetization = 0.21 μB/atom
ΔE_f = 122.0 meV/atom
space-group type = Pmmn

abc: 4.237 5.248 4.722
angles: 90.00 90.00 90.00
Fractional coordinates of all 8 atoms:
Cd 0.250 0.250 0.141
Cd 0.750 0.750 0.859
Ni 0.250 0.006 0.645
Ni 0.250 0.494 0.645
Ni 0.250 0.750 0.210
Ni 0.750 0.250 0.790
Ni 0.750 0.506 0.355
Ni 0.750 0.994 0.355



Record 20
VASP calculation (GGA-PBE) on a relaxed structure of Tb2Ho5Er4.

Summary:
total magnetization = 0.00 μB/atom
ΔE_f = 19.8 meV/atom
space-group type = P-1

abc: 3.511 8.614 11.662
angles: 75.88 81.39 89.97
Fractional coordinates of all 11 atoms:
Tb 0.091 0.227 0.318
Tb 0.909 0.773 0.682
Ho 0.000 0.500 0.500
Ho 0.273 0.682 0.955
Ho 0.364 0.408 0.773
Ho 0.636 0.592 0.227
Ho 0.727 0.318 0.045
Er 0.182 0.955 0.136
Er 0.454 0.136 0.592
Er 0.546 0.864 0.408
Er 0.818 0.045 0.864